<A>
VRuOF2: relaxed, PBE with a Hubbard U.

Output
DOS at the Fermi energy = 3.73 states/eV/f.u.
Total magnetic moment = 1.03 μB/cell
Crystal system = tetragonal

Cell: 4.077 4.077 3.887 Å, 90.00 90.00 90.00°
Space group P4/mmm (No. 123)
Symmetry-distinct sites (fractional):
V 0.000 0.000 0.000 (multiplicity 1)
Ru 0.500 0.500 0.500 (multiplicity 1)
O 0.000 0.000 0.500 (multiplicity 1)
F 0.000 0.500 0.000 (multiplicity 2)



<B>
VRuOF2: relaxed, PBE with a Hubbard U.

Output
DOS at the Fermi energy = 3.48 states/eV/f.u.
Total magnetic moment = 1.54 μB/cell
Crystal system = tetragonal

Cell: 4.382 4.382 3.734 Å, 90.00 90.00 90.00°
Space group P4/mmm (No. 123)
Symmetry-distinct sites (fractional):
V 0.000 0.000 0.000 (multiplicity 1)
Ru 0.500 0.500 0.500 (multiplicity 1)
O 0.500 0.500 0.000 (multiplicity 1)
F 0.000 0.500 0.500 (multiplicity 2)



Going by the computed energies, the most stable comes first: <A>, <B>.